1.
! TbTm2U2Ru5 (PBE-GGA, relaxed); values from VASP
! Spin magnetization (μB/cell): 0.00
! DOS at the Fermi energy (states/eV per cell): 12.93
! E_form (eV per atom): -0.2909
&SYSTEM
  ibrav = 0, nat = 20, ntyp = 4
/
ATOMIC_SPECIES
Tb 158.93 Tb.upf
Tm 168.93 Tm.upf
U 238.03 U.upf
Ru 101.07 Ru.upf
CELL_PARAMETERS angstrom
10.510 0.000 0.000
0.000 10.510 0.000
0.000 0.000 3.628
ATOMIC_POSITIONS crystal
Tb 0.000 0.000 0.000
Tb 0.500 0.500 0.000
Tm 0.174 0.326 0.000
Tm 0.326 0.826 0.000
Tm 0.674 0.174 0.000
Tm 0.826 0.674 0.000
U 0.134 0.634 0.000
U 0.366 0.134 0.000
U 0.634 0.866 0.000
U 0.866 0.366 0.000
Ru 0.000 0.500 0.500
Ru 0.055 0.787 0.500
Ru 0.213 0.055 0.500
Ru 0.287 0.555 0.500
Ru 0.445 0.287 0.500
Ru 0.500 0.000 0.500
Ru 0.555 0.713 0.500
Ru 0.713 0.445 0.500
Ru 0.787 0.945 0.500
Ru 0.945 0.213 0.500

---

2.
! Tb2TmU2Ru5 (PBE-GGA, relaxed); values from VASP
! Spin magnetization (μB/cell): 0.00
! DOS at the Fermi energy (states/eV per cell): 13.05
! E_form (eV per atom): -0.2897
&SYSTEM
  ibrav = 0, nat = 20, ntyp = 4
/
ATOMIC_SPECIES
Tb 158.93 Tb.upf
Tm 168.93 Tm.upf
U 238.03 U.upf
Ru 101.07 Ru.upf
CELL_PARAMETERS angstrom
10.604 0.000 0.000
0.000 10.604 0.000
0.000 0.000 3.575
ATOMIC_POSITIONS crystal
Tb 0.174 0.326 0.000
Tb 0.326 0.826 0.000
Tb 0.674 0.174 0.000
Tb 0.826 0.674 0.000
Tm 0.000 0.000 0.000
Tm 0.500 0.500 0.000
U 0.136 0.636 0.000
U 0.364 0.136 0.000
U 0.636 0.864 0.000
U 0.864 0.364 0.000
Ru 0.000 0.500 0.500
Ru 0.053 0.789 0.500
Ru 0.211 0.053 0.500
Ru 0.289 0.553 0.500
Ru 0.447 0.289 0.500
Ru 0.500 0.000 0.500
Ru 0.553 0.711 0.500
Ru 0.711 0.447 0.500
Ru 0.789 0.947 0.500
Ru 0.947 0.211 0.500

---

3.
! TbURu (PBE-GGA, relaxed); values from VASP
! Spin magnetization (μB/cell): 0.86
! DOS at the Fermi energy (states/eV per cell): 3.93
! Energy above the most stable polymorph in this dataset (meV per atom): 0
! E_form (eV per atom): -0.1072
&SYSTEM
  ibrav = 0, nat = 3, ntyp = 3
/
ATOMIC_SPECIES
Tb 158.93 Tb.upf
U 238.03 U.upf
Ru 101.07 Ru.upf
CELL_PARAMETERS angstrom
-1.742 1.742 5.449
1.742 -1.742 5.449
1.742 1.742 -5.449
ATOMIC_POSITIONS crystal
Tb 0.000 0.000 0.000
U 0.700 0.700 0.000
Ru 0.302 0.302 0.000

---

4.
! Tb3U2Ru6 (PBE-GGA, relaxed); values from VASP
! Spin magnetization (μB/cell): 1.55
! DOS at the Fermi energy (states/eV per cell): 27.94
! E_form (eV per atom): -0.3246
&SYSTEM
  ibrav = 0, nat = 22, ntyp = 3
/
ATOMIC_SPECIES
Tb 158.93 Tb.upf
U 238.03 U.upf
Ru 101.07 Ru.upf
CELL_PARAMETERS angstrom
-4.773 4.773 4.773
4.773 -4.773 4.773
4.773 4.773 -4.773
ATOMIC_POSITIONS crystal
Tb 0.000 0.287 0.287
Tb 0.000 0.713 0.713
Tb 0.287 0.000 0.287
Tb 0.287 0.287 0.000
Tb 0.713 0.000 0.713
Tb 0.713 0.713 0.000
U 0.000 0.000 0.500
U 0.000 0.500 0.000
U 0.500 0.000 0.000
U 0.500 0.500 0.500
Ru 0.000 0.346 0.654
Ru 0.000 0.654 0.346
Ru 0.307 0.654 0.654
Ru 0.346 0.000 0.654
Ru 0.346 0.346 0.693
Ru 0.346 0.654 0.000
Ru 0.346 0.693 0.346
Ru 0.654 0.000 0.346
Ru 0.654 0.307 0.654
Ru 0.654 0.346 0.000
Ru 0.654 0.654 0.307
Ru 0.693 0.346 0.346

---

5.
! Tb3URu4 (PBE-GGA, relaxed); values from VASP
! Spin magnetization (μB/cell): 0.86
! DOS at the Fermi energy (states/eV per cell): 7.55
! Energy above the most stable polymorph in this dataset (meV per atom): 0
! E_form (eV per atom): -0.2941
&SYSTEM
  ibrav = 0, nat = 8, ntyp = 3
/
ATOMIC_SPECIES
Tb 158.93 Tb.upf
U 238.03 U.upf
Ru 101.07 Ru.upf
CELL_PARAMETERS angstrom
-3.400 3.400 3.400
3.400 -3.400 3.400
3.400 3.400 -3.400
ATOMIC_POSITIONS crystal
Tb 0.000 0.500 0.500
Tb 0.500 0.000 0.500
Tb 0.500 0.500 0.000
U 0.000 0.000 0.000
Ru 0.000 0.000 0.500
Ru 0.000 0.500 0.000
Ru 0.500 0.000 0.000
Ru 0.500 0.500 0.500

---

6.
! TbURu3 (PBE-GGA, relaxed); values from VASP
! Spin magnetization (μB/cell): 0.00
! DOS at the Fermi energy (states/eV per cell): 10.76
! Energy above the most stable polymorph in this dataset (meV per atom): 0
! E_form (eV per atom): -0.2167
&SYSTEM
  ibrav = 0, nat = 10, ntyp = 3
/
ATOMIC_SPECIES
Tb 158.93 Tb.upf
U 238.03 U.upf
Ru 101.07 Ru.upf
CELL_PARAMETERS angstrom
3.014 -5.882 0.000
3.014 5.882 0.000
0.000 0.000 5.441
ATOMIC_POSITIONS crystal
Tb 0.088 0.912 0.750
Tb 0.912 0.088 0.250
U 0.304 0.696 0.250
U 0.696 0.304 0.750
Ru 0.107 0.428 0.750
Ru 0.428 0.107 0.250
Ru 0.500 0.500 0.000
Ru 0.500 0.500 0.500
Ru 0.572 0.893 0.750
Ru 0.893 0.572 0.250

---

7.
! Tb4URu5 (PBE-GGA, relaxed); values from VASP
! Spin magnetization (μB/cell): 0.00
! DOS at the Fermi energy (states/eV per cell): 9.27
! E_form (eV per atom): -0.1519
&SYSTEM
  ibrav = 0, nat = 10, ntyp = 3
/
ATOMIC_SPECIES
Tb 158.93 Tb.upf
U 238.03 U.upf
Ru 101.07 Ru.upf
CELL_PARAMETERS angstrom
-4.430 4.430 2.751
4.430 -4.430 2.751
4.430 4.430 -2.751
ATOMIC_POSITIONS crystal
Tb 0.083 0.321 0.404
Tb 0.321 0.917 0.237
Tb 0.679 0.083 0.763
Tb 0.917 0.679 0.596
U 0.718 0.718 0.000
Ru 0.134 0.134 0.000
Ru 0.264 0.586 0.870
Ru 0.394 0.264 0.678
Ru 0.586 0.716 0.322
Ru 0.716 0.394 0.130

---

8.
! Tb2URu3 (PBE-GGA, relaxed); values from VASP
! Spin magnetization (μB/cell): 0.00
! DOS at the Fermi energy (states/eV per cell): 4.50
! Energy above the most stable polymorph in this dataset (meV per atom): 34
! E_form (eV per atom): -0.2711
&SYSTEM
  ibrav = 0, nat = 6, ntyp = 3
/
ATOMIC_SPECIES
Tb 158.93 Tb.upf
U 238.03 U.upf
Ru 101.07 Ru.upf
CELL_PARAMETERS angstrom
5.487 -1.995 0.000
5.487 1.995 0.000
-3.364 0.000 5.972
ATOMIC_POSITIONS crystal
Tb 0.000 0.000 0.000
Tb 0.169 0.169 0.641
U 0.348 0.348 0.290
Ru 0.476 0.476 0.680
Ru 0.741 0.741 0.020
Ru 0.764 0.764 0.442

---

9.
! TbURu4 (PBE-GGA, relaxed); values from VASP
! Spin magnetization (μB/cell): 1.66
! DOS at the Fermi energy (states/eV per cell): 11.34
! E_form (eV per atom): -0.1578
&SYSTEM
  ibrav = 0, nat = 6, ntyp = 3
/
ATOMIC_SPECIES
Tb 158.93 Tb.upf
U 238.03 U.upf
Ru 101.07 Ru.upf
CELL_PARAMETERS angstrom
0.000 3.759 3.759
3.759 0.000 3.759
3.759 3.759 0.000
ATOMIC_POSITIONS crystal
Tb 0.000 0.000 0.000
U 0.750 0.750 0.750
Ru 0.375 0.375 0.375
Ru 0.375 0.375 0.875
Ru 0.375 0.875 0.375
Ru 0.875 0.375 0.375

---

10.
! Tb3URu6 (PBE-GGA, relaxed); values from VASP
! Spin magnetization (μB/cell): 1.37
! DOS at the Fermi energy (states/eV per cell): 10.29
! E_form (eV per atom): 0.6527
&SYSTEM
  ibrav = 0, nat = 10, ntyp = 3
/
ATOMIC_SPECIES
Tb 158.93 Tb.upf
U 238.03 U.upf
Ru 101.07 Ru.upf
CELL_PARAMETERS angstrom
0.000 4.826 4.826
4.826 0.000 4.826
4.826 4.826 0.000
ATOMIC_POSITIONS crystal
Tb 0.000 0.000 0.000
Tb 0.250 0.250 0.250
Tb 0.750 0.750 0.750
U 0.500 0.500 0.500
Ru 0.258 0.258 0.742
Ru 0.258 0.742 0.258
Ru 0.258 0.742 0.742
Ru 0.742 0.258 0.258
Ru 0.742 0.258 0.742
Ru 0.742 0.742 0.258

---

11.
! Tb3URu4 (PBE-GGA, relaxed); values from VASP
! Spin magnetization (μB/cell): 0.00
! DOS at the Fermi energy (states/eV per cell): 5.01
! Energy above the most stable polymorph in this dataset (meV per atom): 152
! E_form (eV per atom): -0.1417
&SYSTEM
  ibrav = 0, nat = 8, ntyp = 3
/
ATOMIC_SPECIES
Tb 158.93 Tb.upf
U 238.03 U.upf
Ru 101.07 Ru.upf
CELL_PARAMETERS angstrom
-2.940 4.816 3.033
2.940 -4.816 3.033
2.940 4.816 -3.033
ATOMIC_POSITIONS crystal
Tb 0.000 0.000 0.000
Tb 0.383 0.649 0.734
Tb 0.915 0.649 0.266
U 0.726 0.226 0.500
Ru 0.401 0.160 0.760
Ru 0.401 0.641 0.240
Ru 0.421 0.160 0.261
Ru 0.899 0.160 0.739

---

12.
! Tb5U2Ru5 (PBE-GGA, relaxed); values from VASP
! Spin magnetization (μB/cell): 1.40
! DOS at the Fermi energy (states/eV per cell): 15.40
! E_form (eV per atom): -0.2113
&SYSTEM
  ibrav = 0, nat = 12, ntyp = 3
/
ATOMIC_SPECIES
Tb 158.93 Tb.upf
U 238.03 U.upf
Ru 101.07 Ru.upf
CELL_PARAMETERS angstrom
4.876 0.000 0.000
2.430 4.793 0.000
2.429 1.749 11.691
ATOMIC_POSITIONS crystal
Tb 0.000 0.000 0.000
Tb 0.175 0.197 0.453
Tb 0.265 0.314 0.156
Tb 0.735 0.686 0.844
Tb 0.825 0.803 0.547
U 0.482 0.319 0.714
U 0.518 0.681 0.286
Ru 0.233 0.838 0.698
Ru 0.379 0.329 0.913
Ru 0.500 0.500 0.500
Ru 0.621 0.671 0.087
Ru 0.767 0.162 0.302

---

Q: spin magnetization of number 4 (Tb3U2Ru6)?
A: 1.55 μB/cell